Record 1
InFeMoF6: relaxed, PBE with a Hubbard U.

abc: 5.6889 5.6889 11.6157
angles: 90.00 90.00 120.00
Space group P-31c (No. 163)
Symmetry-distinct sites (fractional):
In  0.0000  0.0000  0.0000 (multiplicity 2)
Fe  0.3333  0.6667  0.2500 (multiplicity 2)
Mo  0.3333  0.6667  0.7500 (multiplicity 2)
F  0.0006  0.3683  0.6549 (multiplicity 12)

Properties
**V**: 326 Å³ per cell
**Spin magnetization**: 7.000 μB per formula unit
**VASP energy**: -5.18 eV per atom

***

Record 2
InFeNF2: relaxed, PBE with a Hubbard U.

abc: 4.0127 4.0127 4.1761
angles: 90.00 90.00 90.00
Space group P4/mmm (No. 123)
Symmetry-distinct sites (fractional):
In  0.0000  0.0000  0.0000 (multiplicity 1)
Fe  0.5000  0.5000  0.5000 (multiplicity 1)
N  0.5000  0.5000  0.0000 (multiplicity 1)
F  0.0000  0.5000  0.5000 (multiplicity 2)

Properties
**V**: 67 Å³ per cell
**Spin magnetization**: 4.891 μB per formula unit
**VASP energy**: -4.94 eV per atom

***

Record 3
InFeNF2: relaxed, PBE with a Hubbard U.

abc: 4.1978 4.1978 4.2806
angles: 90.00 90.00 90.00
Space group P4/mmm (No. 123)
Symmetry-distinct sites (fractional):
In  0.0000  0.0000  0.0000 (multiplicity 1)
Fe  0.5000  0.5000  0.5000 (multiplicity 1)
N  0.0000  0.0000  0.5000 (multiplicity 1)
F  0.0000  0.5000  0.0000 (multiplicity 2)

Properties
**V**: 75 Å³ per cell
**Spin magnetization**: 3.990 μB per formula unit
**VASP energy**: -4.66 eV per atom

***

Record 4
InFeO2F: relaxed, PBE with a Hubbard U.

abc: 4.2361 4.2361 4.1551
angles: 90.00 90.00 90.00
Space group P4/mmm (No. 123)
Symmetry-distinct sites (fractional):
In  0.0000  0.0000  0.0000 (multiplicity 1)
Fe  0.5000  0.5000  0.5000 (multiplicity 1)
O  0.0000  0.5000  0.0000 (multiplicity 2)
F  0.0000  0.0000  0.5000 (multiplicity 1)

Properties
**V**: 75 Å³ per cell
**Spin magnetization**: 4.013 μB per formula unit
**VASP energy**: -5.02 eV per atom

***

Record 5
InFePb2F: relaxed, PBE with a Hubbard U.

abc: 5.8323 5.8323 4.2612
angles: 90.00 90.00 90.00
Space group P4/mmm (No. 123)
Symmetry-distinct sites (fractional):
In  0.0000  0.0000  0.0000 (multiplicity 1)
Fe  0.5000  0.5000  0.5000 (multiplicity 1)
Pb  0.0000  0.5000  0.0000 (multiplicity 2)
F  0.0000  0.0000  0.5000 (multiplicity 1)

Properties
**V**: 145 Å³ per cell
**Spin magnetization**: 3.465 μB per formula unit
**VASP energy**: -3.29 eV per atom

***

Record 6
InFePd2F: relaxed, PBE with a Hubbard U.

abc: 4.6862 4.6862 5.2783
angles: 90.00 90.00 90.00
Space group P4/mmm (No. 123)
Symmetry-distinct sites (fractional):
In  0.0000  0.0000  0.0000 (multiplicity 1)
Fe  0.0000  0.0000  0.5000 (multiplicity 1)
Pd  0.0000  0.5000  0.5000 (multiplicity 2)
F  0.5000  0.5000  0.0000 (multiplicity 1)

Properties
**V**: 116 Å³ per cell
**Spin magnetization**: 3.947 μB per formula unit
**VASP energy**: -3.74 eV per atom

***

Record 7
RbInFeF6: relaxed, PBE with a Hubbard U.

abc: 5.7022 5.7071 5.9718
angles: 89.83 89.93 60.36
Space group P1 (No. 1)
Symmetry-distinct sites (fractional):
Rb  0.0000  0.0000  0.0000 (multiplicity 1)
In  0.3323  0.3343  0.5002 (multiplicity 1)
Fe  0.6685  0.6668  0.5000 (multiplicity 1)
F  0.0044  0.6143  0.6952 (multiplicity 1)
F  0.3814  0.6152  0.3051 (multiplicity 1)
F  0.3841  0.9997  0.6919 (multiplicity 1)
F  0.6188  0.9970  0.3123 (multiplicity 1)
F  0.6256  0.3794  0.6856 (multiplicity 1)
F  0.9991  0.3780  0.3112 (multiplicity 1)

Properties
**V**: 169 Å³ per cell
**Spin magnetization**: 4.000 μB per formula unit
**VASP energy**: -4.89 eV per atom

***

Record 8
In2FeSiF: relaxed, PBE with a Hubbard U.

abc: 5.3692 5.3692 4.6442
angles: 90.00 90.00 90.00
Space group P4/mmm (No. 123)
Symmetry-distinct sites (fractional):
In  0.0000  0.5000  0.0000 (multiplicity 2)
Fe  0.0000  0.0000  0.5000 (multiplicity 1)
Si  0.0000  0.0000  0.0000 (multiplicity 1)
F  0.5000  0.5000  0.5000 (multiplicity 1)

Properties
**V**: 134 Å³ per cell
**Spin magnetization**: 3.201 μB per formula unit
**VASP energy**: -3.52 eV per atom

***

Record 9
InFeSnF6: relaxed, PBE with a Hubbard U.

abc: 5.8231 10.0682 5.1070
angles: 90.00 90.32 90.00
Space group C2 (No. 5)
Symmetry-distinct sites (fractional):
In  0.0000  0.0000  0.0000 (multiplicity 2)
Fe  0.0000  0.6673  0.0000 (multiplicity 2)
Sn  0.0000  0.3393  0.5000 (multiplicity 2)
F  0.1524  0.8251  0.2273 (multiplicity 4)
F  0.1538  0.5076  0.2339 (multiplicity 4)
F  0.2081  0.1634  0.2181 (multiplicity 4)

Properties
**V**: 299 Å³ per cell
**Spin magnetization**: 4.606 μB per formula unit
**VASP energy**: -4.82 eV per atom

***

Record 10
TiIn2FeF: relaxed, PBE with a Hubbard U.

abc: 5.5661 5.5661 3.8336
angles: 90.00 90.00 90.00
Space group P4/mmm (No. 123)
Symmetry-distinct sites (fractional):
Ti  0.0000  0.0000  0.0000 (multiplicity 1)
In  0.0000  0.5000  0.0000 (multiplicity 2)
Fe  0.5000  0.5000  0.5000 (multiplicity 1)
F  0.0000  0.0000  0.5000 (multiplicity 1)

Properties
**V**: 119 Å³ per cell
**Spin magnetization**: 4.177 μB per formula unit
**VASP energy**: -4.36 eV per atom

***

Record 11
VInFeF6: relaxed, PBE with a Hubbard U.

abc: 5.4807 5.5652 5.8621
angles: 89.85 89.53 60.54
Space group P1 (No. 1)
Symmetry-distinct sites (fractional):
V  0.0000  0.0000  0.0000 (multiplicity 1)
In  0.6640  0.6686  0.5001 (multiplicity 1)
Fe  0.3292  0.3418  0.0003 (multiplicity 1)
F  0.0313  0.6911  0.8125 (multiplicity 1)
F  0.0395  0.2860  0.1838 (multiplicity 1)
F  0.2702  0.0460  0.8081 (multiplicity 1)
F  0.2836  0.6902  0.1853 (multiplicity 1)
F  0.6750  0.2900  0.8185 (multiplicity 1)
F  0.6857  0.0457  0.1924 (multiplicity 1)

Properties
**V**: 156 Å³ per cell
**Spin magnetization**: 2.005 μB per formula unit
**VASP energy**: -5.48 eV per atom

***

Record 12
ZnInFe2F: relaxed, PBE with a Hubbard U.

abc: 4.8919 4.8919 4.9420
angles: 90.00 90.00 90.00
Space group P4/mmm (No. 123)
Symmetry-distinct sites (fractional):
Zn  0.0000  0.0000  0.0000 (multiplicity 1)
In  0.0000  0.0000  0.5000 (multiplicity 1)
Fe  0.0000  0.5000  0.0000 (multiplicity 2)
F  0.5000  0.5000  0.5000 (multiplicity 1)

Properties
**V**: 118 Å³ per cell
**Spin magnetization**: 7.961 μB per formula unit
**VASP energy**: -3.04 eV per atom

***

Record 13
FeIrF2: relaxed, PBE with a Hubbard U.

abc: 6.3226 6.3226 5.6328
angles: 90.00 90.00 90.00
Space group I-42d (No. 122)
Symmetry-distinct sites (fractional):
Fe  0.0000  0.0000  0.0000 (multiplicity 4)
Ir  0.0000  0.0000  0.5000 (multiplicity 4)
F  0.1649  0.2500  0.1250 (multiplicity 8)

Properties
**V**: 225 Å³ per cell
**Spin magnetization**: 5.780 μB per formula unit
**VASP energy**: -4.82 eV per atom

***

Record 14
FeIr3F: relaxed, PBE with a Hubbard U.

abc: 4.4295 4.4295 4.4295
angles: 90.00 90.00 90.00
Space group Pm-3m (No. 221)
Symmetry-distinct sites (fractional):
Fe  0.0000  0.0000  0.0000 (multiplicity 1)
Ir  0.0000  0.0000  0.5000 (multiplicity 3)
F  0.5000  0.5000  0.5000 (multiplicity 1)

Properties
**V**: 87 Å³ per cell
**Spin magnetization**: 0.000 μB per formula unit
**VASP energy**: -4.61 eV per atom

***

Record 15
Fe2IrF2: relaxed, PBE with a Hubbard U.

abc: 3.2598 3.2598 11.8313
angles: 90.00 90.00 90.00
Space group I4/mmm (No. 139)
Symmetry-distinct sites (fractional):
Fe  0.0000  0.0000  0.1302 (multiplicity 4)
Ir  0.0000  0.0000  0.5000 (multiplicity 2)
F  0.0000  0.5000  0.2500 (multiplicity 4)

Properties
**V**: 126 Å³ per cell
**Spin magnetization**: 8.365 μB per formula unit
**VASP energy**: -5.69 eV per atom

***

Record 16
Fe3IrF: relaxed, PBE with a Hubbard U.

abc: 4.8943 4.8943 4.8943
angles: 90.00 90.00 90.00
Space group Pm-3m (No. 221)
Symmetry-distinct sites (fractional):
Fe  0.0000  0.0000  0.5000 (multiplicity 3)
Ir  0.0000  0.0000  0.0000 (multiplicity 1)
F  0.5000  0.5000  0.5000 (multiplicity 1)

Properties
**V**: 117 Å³ per cell
**Spin magnetization**: 11.932 μB per formula unit
**VASP energy**: -4.77 eV per atom

***

Record 17
FeIrF2: relaxed, PBE with a Hubbard U.

abc: 5.8822 5.8822 5.8822
angles: 90.00 90.00 90.00
Space group Fm-3m (No. 225)
Symmetry-distinct sites (fractional):
Fe  0.0000  0.0000  0.0000 (multiplicity 4)
Ir  0.0000  0.0000  0.5000 (multiplicity 4)
F  0.2500  0.2500  0.2500 (multiplicity 8)

Properties
**V**: 204 Å³ per cell
**Spin magnetization**: 5.536 μB per formula unit
**VASP energy**: -4.51 eV per atom

***

Record 18
FeIrF3: relaxed, PBE with a Hubbard U.

abc: 4.2314 4.2314 4.2314
angles: 90.00 90.00 90.00
Space group Pm-3m (No. 221)
Symmetry-distinct sites (fractional):
Fe  0.0000  0.0000  0.0000 (multiplicity 1)
Ir  0.5000  0.5000  0.5000 (multiplicity 1)
F  0.0000  0.5000  0.5000 (multiplicity 3)

Properties
**V**: 76 Å³ per cell
**Spin magnetization**: 3.484 μB per formula unit
**VASP energy**: -4.38 eV per atom

***

Record 19
FeIrF2: relaxed, PBE with a Hubbard U.

abc: 2.7599 2.7599 30.1617
angles: 90.00 90.00 120.00
Space group R-3m (No. 166, hexagonal axes)
Symmetry-distinct sites (fractional):
Fe  0.0000  0.0000  0.0000 (multiplicity 3)
Ir  0.0000  0.0000  0.5000 (multiplicity 3)
F  0.0000  0.0000  0.3757 (multiplicity 6)

Properties
**V**: 199 Å³ per cell
**Spin magnetization**: 2.627 μB per formula unit
**VASP energy**: -5.40 eV per atom

***

Record 20
FeIr3F: relaxed, PBE with a Hubbard U.

abc: 4.2469 4.2469 4.2469
angles: 90.00 90.00 90.00
Space group Pm-3m (No. 221)
Symmetry-distinct sites (fractional):
Fe  0.0000  0.0000  0.0000 (multiplicity 1)
Ir  0.0000  0.5000  0.5000 (multiplicity 3)
F  0.5000  0.5000  0.5000 (multiplicity 1)

Properties
**V**: 77 Å³ per cell
**Spin magnetization**: 5.364 μB per formula unit
**VASP energy**: -5.47 eV per atom